Computed, not measured: a relaxed structure of Tm2NpSc3S6 at the GGA-PBE level of DFT.

Lattice parameters (Å, degrees): 3.7629 7.5875 8.4620 103.00 102.85 90.00
Closest atoms and distances in Å follow each position.
Atoms (fractional coordinates):
1 Tm 0.8369 0.6724 0.6738  6 S 2.67-2.74
2 Tm 0.1631 0.3276 0.3262  6 S 2.67-2.74
3 Np 0.5000 0.0000 0.0000  6 S 2.74-2.76
4 Sc 0.5000 0.5000 0.0000  6 S 2.61-2.67
5 Sc 0.8356 0.1612 0.6711  6 S 2.59-2.67
6 Sc 0.1644 0.8388 0.3289  6 S 2.59-2.67
7 S 0.3278 0.9197 0.6557  3 Sc 2.61-2.62, 2 Tm 2.69, 1 Np 2.76
8 S 0.6665 0.5895 0.3330  3 Sc 2.67, 3 Tm 2.73-2.74
9 S 0.6722 0.0803 0.3443  3 Sc 2.61-2.62, 2 Tm 2.69, 1 Np 2.76
10 S 0.9969 0.2609 0.9938  3 Sc 2.59-2.61, 1 Tm 2.67, 2 Np 2.74
11 S 0.0031 0.7391 0.0062  3 Sc 2.59-2.61, 1 Tm 2.67, 2 Np 2.74
12 S 0.3335 0.4105 0.6670  3 Sc 2.67, 3 Tm 2.73-2.74

Summary:
Calculated volume: 19.1 Å³/atom
D(E_F): 0.905 states/eV per atom
Formation energy (no corrections): -1.816 eV per atom